(1)
First-principles (PBE) data for a geometry-optimized LiNd6Co2 structure, as listed in Alexandria.

CIF file:
```
data_LiNd6Co2
_space_group_name_H-M_alt 'P 1'
_space_group_IT_number 1
_cell_length_a 8.628
_cell_length_b 8.628
_cell_length_c 8.628
_cell_angle_alpha 111.92
_cell_angle_beta 109.07
_cell_angle_gamma 107.45
loop_
_space_group_symop_operation_xyz
'x,y,z'
loop_
_atom_site_label
_atom_site_fract_x
_atom_site_fract_y
_atom_site_fract_z
Li1 0.000 0.000 0.000
Li2 0.500 0.500 0.000
Nd1 0.029 0.229 0.800
Nd2 0.181 0.284 0.465
Nd3 0.181 0.716 0.896
Nd4 0.320 0.004 0.684
Nd5 0.320 0.636 0.316
Nd6 0.429 0.229 0.200
Nd7 0.571 0.771 0.800
Nd8 0.680 0.364 0.684
Nd9 0.680 0.996 0.316
Nd10 0.819 0.284 0.104
Nd11 0.819 0.716 0.535
Nd12 0.971 0.771 0.200
Co1 0.113 0.613 0.500
Co2 0.332 0.000 0.332
Co3 0.668 0.000 0.668
Co4 0.887 0.387 0.500
```

E_tot, eV/atom: -5.01
Calculated density, kg/m3: 6661
Calculated formation energy, eV per formula unit: -0.4

=====

(2)
First-principles (PBE) data for a geometry-optimized TbTh4P6 structure, as listed in Alexandria.

CIF file:
```
data_TbTh4P6
_space_group_name_H-M_alt 'P 1'
_space_group_IT_number 1
_cell_length_a 8.060
_cell_length_b 8.060
_cell_length_c 8.060
_cell_angle_alpha 89.63
_cell_angle_beta 89.63
_cell_angle_gamma 89.63
loop_
_space_group_symop_operation_xyz
'x,y,z'
loop_
_atom_site_label
_atom_site_fract_x
_atom_site_fract_y
_atom_site_fract_z
Tb1 0.000 0.000 0.000
Tb2 0.500 0.500 0.500
Th1 0.131 0.750 0.369
Th2 0.250 0.250 0.250
Th3 0.250 0.631 0.869
Th4 0.369 0.131 0.750
Th5 0.631 0.869 0.250
Th6 0.750 0.369 0.131
Th7 0.750 0.750 0.750
Th8 0.869 0.250 0.631
P1 0.064 0.915 0.679
P2 0.085 0.321 0.936
P3 0.179 0.415 0.564
P4 0.321 0.936 0.085
P5 0.415 0.564 0.179
P6 0.436 0.821 0.585
P7 0.564 0.179 0.415
P8 0.585 0.436 0.821
P9 0.679 0.064 0.915
P10 0.821 0.585 0.436
P11 0.915 0.679 0.064
P12 0.936 0.085 0.321
```

E_tot, eV/atom: -7.37
Calculated density, kg/m3: 8073
Calculated formation energy, eV per formula unit: -14.4

=====

(3)
First-principles (PBE) data for a geometry-optimized GaAs2Cl structure, as listed in Alexandria.

CIF file:
```
data_GaAs2Cl
_space_group_name_H-M_alt 'P 1'
_space_group_IT_number 1
_cell_length_a 4.771
_cell_length_b 4.771
_cell_length_c 4.771
_cell_angle_alpha 60.00
_cell_angle_beta 60.00
_cell_angle_gamma 60.00
loop_
_space_group_symop_operation_xyz
'x,y,z'
loop_
_atom_site_label
_atom_site_fract_x
_atom_site_fract_y
_atom_site_fract_z
Ga1 0.000 0.000 0.000
As1 0.250 0.250 0.250
As2 0.750 0.750 0.750
Cl1 0.500 0.500 0.500
```

Formation energy from raw total energies, kJ/mol of formula units: 120
E_tot, eV/atom: -3.23
Calculated density, kg/m3: 5513
E above lowest polymorph, meV/atom: 378.8

=====

(4)
First-principles (PBE) data for a geometry-optimized BaCa2Sc structure, as listed in Alexandria.

CIF file:
```
data_BaCa2Sc
_space_group_name_H-M_alt 'P 1'
_space_group_IT_number 1
_cell_length_a 7.191
_cell_length_b 7.191
_cell_length_c 3.677
_cell_angle_alpha 100.37
_cell_angle_beta 100.37
_cell_angle_gamma 117.95
loop_
_space_group_symop_operation_xyz
'x,y,z'
loop_
_atom_site_label
_atom_site_fract_x
_atom_site_fract_y
_atom_site_fract_z
Ba1 0.000 0.000 0.000
Ca1 0.000 0.500 0.500
Ca2 0.500 0.000 0.500
Sc1 0.500 0.500 0.000
```

E_tot, eV/atom: -2.80
Calculated density, kg/m3: 2769
Calculated formation energy, eV per formula unit: 1.0
E above lowest polymorph, meV/atom: 83.2

=====

(5)
First-principles (PBE) data for a geometry-optimized CdMoAsBr2 structure, as listed in Alexandria.

CIF file:
```
data_CdMoAsBr2
_space_group_name_H-M_alt 'P 1'
_space_group_IT_number 1
_cell_length_a 5.288
_cell_length_b 5.288
_cell_length_c 4.925
_cell_angle_alpha 90.00
_cell_angle_beta 90.00
_cell_angle_gamma 90.00
loop_
_space_group_symop_operation_xyz
'x,y,z'
loop_
_atom_site_label
_atom_site_fract_x
_atom_site_fract_y
_atom_site_fract_z
Cd1 0.000 0.000 0.000
Mo1 0.500 0.500 0.500
As1 0.500 0.500 0.000
Br1 0.000 0.500 0.500
Br2 0.500 0.000 0.500
```

Formation energy from raw total energies, kJ/mol of formula units: 98
E_tot, eV/atom: -3.75
Calculated density, kg/m3: 5343
E above lowest polymorph, meV/atom: 0.0

=====

(6)
First-principles (PBE) data for a geometry-optimized Nd5Ga2Bi2 structure, as listed in Alexandria.

CIF file:
```
data_Nd5Ga2Bi2
_space_group_name_H-M_alt 'P 1'
_space_group_IT_number 1
_cell_length_a 9.060
_cell_length_b 9.060
_cell_length_c 8.272
_cell_angle_alpha 90.00
_cell_angle_beta 90.00
_cell_angle_gamma 54.41
loop_
_space_group_symop_operation_xyz
'x,y,z'
loop_
_atom_site_label
_atom_site_fract_x
_atom_site_fract_y
_atom_site_fract_z
Nd1 0.000 0.000 0.000
Nd2 0.043 0.697 0.671
Nd3 0.197 0.543 0.171
Nd4 0.303 0.957 0.671
Nd5 0.457 0.803 0.171
Nd6 0.500 0.500 0.500
Nd7 0.543 0.197 0.829
Nd8 0.697 0.043 0.329
Nd9 0.803 0.457 0.829
Nd10 0.957 0.303 0.329
Ga1 0.120 0.880 0.382
Ga2 0.380 0.620 0.882
Ga3 0.620 0.380 0.118
Ga4 0.880 0.120 0.618
Bi1 0.207 0.207 0.000
Bi2 0.293 0.293 0.500
Bi3 0.707 0.707 0.500
Bi4 0.793 0.793 0.000
```

E_tot, eV/atom: -4.89
Calculated density, kg/m3: 7691
Calculated formation energy, eV per formula unit: -6.3

=====

(7)
First-principles (PBE) data for a geometry-optimized LiSbN structure, as listed in Alexandria.

CIF file:
```
data_LiSbN
_space_group_name_H-M_alt 'P 1'
_space_group_IT_number 1
_cell_length_a 5.594
_cell_length_b 3.173
_cell_length_c 5.634
_cell_angle_alpha 90.00
_cell_angle_beta 115.94
_cell_angle_gamma 90.00
loop_
_space_group_symop_operation_xyz
'x,y,z'
loop_
_atom_site_label
_atom_site_fract_x
_atom_site_fract_y
_atom_site_fract_z
Li1 0.119 0.250 0.172
Li2 0.881 0.750 0.828
Sb1 0.358 0.750 0.714
Sb2 0.642 0.250 0.286
N1 0.300 0.750 0.057
N2 0.700 0.250 0.943
```

Formation energy from raw total energies, kJ/mol of formula units: 6
E_tot, eV/atom: -4.76
Calculated density, kg/m3: 5270
E above lowest polymorph, meV/atom: 192.6

=====

(8)
First-principles (PBE) data for a geometry-optimized Er2Cu5Pt4 structure, as listed in Alexandria.

CIF file:
```
data_Er2Cu5Pt4
_space_group_name_H-M_alt 'P 1'
_space_group_IT_number 1
_cell_length_a 9.557
_cell_length_b 8.873
_cell_length_c 5.066
_cell_angle_alpha 81.65
_cell_angle_beta 66.72
_cell_angle_gamma 31.63
loop_
_space_group_symop_operation_xyz
'x,y,z'
loop_
_atom_site_label
_atom_site_fract_x
_atom_site_fract_y
_atom_site_fract_z
Er1 0.136 0.136 0.864
Er2 0.864 0.864 0.136
Cu1 0.000 0.000 0.500
Cu2 0.250 0.250 0.250
Cu3 0.500 0.500 0.000
Cu4 0.500 0.500 0.500
Cu5 0.750 0.750 0.750
Pt1 0.209 0.538 0.462
Pt2 0.462 0.791 0.209
Pt3 0.538 0.209 0.791
Pt4 0.791 0.462 0.538
```

E_tot, eV/atom: -5.41
Calculated density, kg/m3: 12526
Calculated formation energy, eV per formula unit: -5.7

=====

(9)
First-principles (PBE) data for a geometry-optimized CaLa2TiAl structure, as listed in Alexandria.

CIF file:
```
data_CaLa2TiAl
_space_group_name_H-M_alt 'P 1'
_space_group_IT_number 1
_cell_length_a 5.710
_cell_length_b 5.710
_cell_length_c 4.891
_cell_angle_alpha 90.00
_cell_angle_beta 90.00
_cell_angle_gamma 90.00
loop_
_space_group_symop_operation_xyz
'x,y,z'
loop_
_atom_site_label
_atom_site_fract_x
_atom_site_fract_y
_atom_site_fract_z
Ca1 0.000 0.000 0.000
La1 0.000 0.500 0.000
La2 0.500 0.000 0.000
Ti1 0.000 0.000 0.500
Al1 0.500 0.500 0.500
```

E_tot, eV/atom: -3.56
Calculated density, kg/m3: 4090
Calculated formation energy, eV per formula unit: 5.7

=====

(10)
First-principles (PBE) data for a geometry-optimized Tb2YHg structure, as listed in Alexandria.

CIF file:
```
data_Tb2YHg
_space_group_name_H-M_alt 'P 1'
_space_group_IT_number 1
_cell_length_a 3.629
_cell_length_b 3.629
_cell_length_c 8.907
_cell_angle_alpha 90.00
_cell_angle_beta 90.00
_cell_angle_gamma 90.00
loop_
_space_group_symop_operation_xyz
'x,y,z'
loop_
_atom_site_label
_atom_site_fract_x
_atom_site_fract_y
_atom_site_fract_z
Tb1 0.000 0.000 0.222
Tb2 0.000 0.000 0.778
Y1 0.500 0.500 0.500
Hg1 0.500 0.500 0.000
```

E_tot, eV/atom: -4.23
Calculated density, kg/m3: 8596
Calculated formation energy, eV per formula unit: -0.9
E above lowest polymorph, meV/atom: 0.0

=====

(11)
First-principles (PBE) data for a geometry-optimized Ac3Zn2Si3 structure, as listed in Alexandria.

CIF file:
```
data_Ac3Zn2Si3
_space_group_name_H-M_alt 'P 1'
_space_group_IT_number 1
_cell_length_a 6.240
_cell_length_b 6.240
_cell_length_c 16.123
_cell_angle_alpha 90.00
_cell_angle_beta 90.00
_cell_angle_gamma 139.32
loop_
_space_group_symop_operation_xyz
'x,y,z'
loop_
_atom_site_label
_atom_site_fract_x
_atom_site_fract_y
_atom_site_fract_z
Ac1 0.041 0.959 0.750
Ac2 0.346 0.654 0.594
Ac3 0.346 0.654 0.906
Ac4 0.654 0.346 0.094
Ac5 0.654 0.346 0.406
Ac6 0.959 0.041 0.250
Zn1 0.364 0.636 0.116
Zn2 0.364 0.636 0.384
Zn3 0.636 0.364 0.616
Zn4 0.636 0.364 0.884
Si1 0.068 0.932 0.554
Si2 0.068 0.932 0.946
Si3 0.240 0.760 0.250
Si4 0.760 0.240 0.750
Si5 0.932 0.068 0.054
Si6 0.932 0.068 0.446
```

Formation energy from raw total energies, kJ/mol of formula units: -387
E_tot, eV/atom: -4.39
Calculated density, kg/m3: 7273
E above lowest polymorph, meV/atom: 0.0

=====

(12)
First-principles (PBE) data for a geometry-optimized CeDyIn4 structure, as listed in Alexandria.

CIF file:
```
data_CeDyIn4
_space_group_name_H-M_alt 'P 1'
_space_group_IT_number 1
_cell_length_a 6.049
_cell_length_b 6.049
_cell_length_c 6.049
_cell_angle_alpha 60.00
_cell_angle_beta 60.00
_cell_angle_gamma 60.00
loop_
_space_group_symop_operation_xyz
'x,y,z'
loop_
_atom_site_label
_atom_site_fract_x
_atom_site_fract_y
_atom_site_fract_z
Ce1 0.000 0.000 0.000
Dy1 0.250 0.250 0.250
In1 0.125 0.625 0.625
In2 0.625 0.125 0.625
In3 0.625 0.625 0.125
In4 0.625 0.625 0.625
```

E_tot, eV/atom: -3.89
Calculated density, kg/m3: 8083
Calculated formation energy, eV per formula unit: -1.9
E above lowest polymorph, meV/atom: 67.7